Entry 1:
RbCoCuTc | PBE | relaxed

Cell and atoms, written as POSCAR:
```
RbCoCuTc
1.0
4.352 -0.742 -0.993
2.372 -3.044 2.362
1.246 -3.894 -1.937
Co Cu Rb Tc
1 1 1 1
Direct
0.000 0.000 0.000
0.750 0.750 0.750
0.500 0.500 0.500
0.250 0.250 0.250
```

Summary:
energy above the most stable polymorph in this dataset = 111 meV/atom
total energy = -3.923 eV per atom
space group = F-43m, No. 216

Entry 2:
HgAsW | PBE | relaxed

Cell and atoms, written as POSCAR:
```
HgAsW
1.0
0.000 3.163 3.163
3.163 0.000 3.163
3.163 3.163 0.000
As Hg W
1 1 1
Direct
0.250 0.250 0.250
0.750 0.750 0.750
0.000 0.000 0.000
```

Summary:
energy above the most stable polymorph in this dataset = 0 meV/atom
total energy = -5.068 eV per atom
space group = F-43m, No. 216

Entry 3:
NiW | PBE | relaxed

Cell and atoms, written as POSCAR:
```
NiW
1.0
4.790 0.000 0.000
-2.395 4.148 0.000
0.000 0.000 16.075
Ni W
12 12
Direct
0.500 0.000 0.000
0.000 0.500 0.000
0.500 0.500 0.000
0.161 0.323 0.250
0.161 0.839 0.250
0.677 0.839 0.250
0.500 0.000 0.500
0.000 0.500 0.500
0.500 0.500 0.500
0.323 0.161 0.750
0.839 0.161 0.750
0.839 0.677 0.750
0.000 0.000 0.088
0.333 0.667 0.128
0.667 0.333 0.154
0.667 0.333 0.346
0.333 0.667 0.372
0.000 0.000 0.412
0.000 0.000 0.588
0.667 0.333 0.628
0.333 0.667 0.654
0.333 0.667 0.846
0.667 0.333 0.872
0.000 0.000 0.912
```

Summary:
total energy = -9.190 eV per atom
space group = P6_3/mmc, No. 194
ΔE_f = 0.07 eV/atom

Entry 4:
TaCuBMo | PBE | relaxed

Cell and atoms, written as POSCAR:
```
TaCuBMo
1.0
0.000 3.005 3.005
3.005 0.000 3.005
3.005 3.005 0.000
B Cu Mo Ta
1 1 1 1
Direct
0.000 0.000 0.000
0.750 0.750 0.750
0.250 0.250 0.250
0.500 0.500 0.500
```

Summary:
energy above the most stable polymorph in this dataset = 0 meV/atom
total energy = -7.534 eV per atom
space group = F-43m, No. 216

Entry 5:
PmDyPd | PBE | relaxed

Cell and atoms, written as POSCAR:
```
PmDyPd
1.0
0.344 -4.058 2.777
-2.517 -4.054 -1.236
2.389 -3.960 -1.707
Dy Pd Pm
1 1 1
Direct
0.250 0.250 0.250
0.000 0.000 0.000
0.750 0.750 0.750
```

Summary:
energy above the most stable polymorph in this dataset = 0 meV/atom
total energy = -5.273 eV per atom
space group = F-43m, No. 216
ΔE_f = -0.43 eV/atom

Entry 6:
NaLaNiTe3 | PBE | relaxed

Cell and atoms, written as POSCAR:
```
NaLaNiTe3
1.0
-0.082 -5.451 -5.776
-1.856 -7.355 -2.352
-10.221 3.626 -3.278
La Na Ni Te
2 2 2 6
Direct
0.000 0.000 0.000
0.000 0.000 0.500
0.749 0.749 0.250
0.251 0.251 0.750
0.490 0.490 0.250
0.510 0.510 0.750
0.365 0.365 0.101
0.090 0.090 0.250
0.365 0.365 0.399
0.635 0.635 0.601
0.910 0.910 0.750
0.635 0.635 0.899
```

Summary:
total energy = -4.379 eV per atom
space group = Cmcm, No. 63

Entry 7:
LiNbCoBi | PBE | relaxed

Cell and atoms, written as POSCAR:
```
LiNbCoBi
1.0
0.000 3.179 3.179
3.179 0.000 3.179
3.179 3.179 0.000
Bi Co Li Nb
1 1 1 1
Direct
0.000 0.000 0.000
0.750 0.750 0.750
0.250 0.250 0.250
0.500 0.500 0.500
```

Summary:
energy above the most stable polymorph in this dataset = 0 meV/atom
total energy = -5.518 eV per atom
space group = F-43m, No. 216

Entry 8:
SmPuCd | PBE | relaxed

Cell and atoms, written as POSCAR:
```
SmPuCd
1.0
2.526 1.458 4.125
-2.526 1.458 4.125
0.000 -2.917 4.125
Cd Pu Sm
1 1 1
Direct
0.750 0.750 0.750
0.000 0.000 0.000
0.250 0.250 0.250
```

Summary:
energy above the most stable polymorph in this dataset = 0 meV/atom
total energy = -6.111 eV per atom
space group = F-43m, No. 216
ΔE_f = 0.47 eV/atom

Entry 9:
Li8TlZn2 | PBE | relaxed

Cell and atoms, written as POSCAR:
```
Li8TlZn2
1.0
-3.874 0.734 -2.186
-3.886 -1.479 1.742
1.437 8.948 5.046
Li Tl Zn
8 1 2
Direct
0.368 0.368 0.104
0.725 0.725 0.177
0.093 0.093 0.281
0.817 0.817 0.452
0.183 0.183 0.548
0.907 0.907 0.719
0.275 0.275 0.823
0.632 0.632 0.896
0.000 0.000 0.000
0.457 0.457 0.373
0.543 0.543 0.627
```

Summary:
total energy = -1.986 eV per atom
space group = C2/m, No. 12

Entry 10:
PaNiW | PBE | relaxed

Cell and atoms, written as POSCAR:
```
PaNiW
1.0
0.000 3.113 3.113
3.113 0.000 3.113
3.113 3.113 0.000
Ni Pa W
1 1 1
Direct
0.250 0.250 0.250
0.000 0.000 0.000
0.750 0.750 0.750
```

Summary:
energy above the most stable polymorph in this dataset = 535 meV/atom
total energy = -8.321 eV per atom
space group = F-43m, No. 216
ΔE_f = 1.02 eV/atom

Entry 11:
YSc2 | PBE | relaxed

Cell and atoms, written as POSCAR:
```
YSc2
1.0
4.045 -0.363 4.675
-1.933 0.765 5.833
-0.163 -4.834 3.867
Sc Y
4 2
Direct
0.625 0.625 0.125
0.625 0.125 0.625
0.125 0.625 0.625
0.625 0.625 0.625
0.000 0.000 0.000
0.250 0.250 0.250
```

Summary:
energy above the most stable polymorph in this dataset = 158 meV/atom
total energy = -6.169 eV per atom
space group = Fd-3m, No. 227
ΔE_f = 0.20 eV/atom

Entry 12:
ScFe2B | PBE | relaxed

Cell and atoms, written as POSCAR:
```
ScFe2B
1.0
-2.766 -0.023 2.994
-2.892 2.870 0.125
-3.874 -0.974 -0.812
B Fe Sc
1 2 1
Direct
0.500 0.500 0.500
0.000 0.000 0.000
0.750 0.750 0.750
0.250 0.250 0.250
```

Summary:
total energy = -7.260 eV per atom
space group = F-43m, No. 216

Entry 13:
PrGdHo | PBE | relaxed

Cell and atoms, written as POSCAR:
```
PrGdHo
1.0
-5.446 -0.505 -0.459
-3.232 4.378 0.714
-2.609 2.213 -4.291
Gd Ho Pr
1 1 1
Direct
0.500 0.500 0.500
0.250 0.250 0.250
0.000 0.000 0.000
```

Summary:
energy above the most stable polymorph in this dataset = 0 meV/atom
total energy = -3.968 eV per atom
space group = F-43m, No. 216
ΔE_f = 0.70 eV/atom

Entry 14:
SiAuNO | PBE | relaxed

Cell and atoms, written as POSCAR:
```
SiAuNO
1.0
0.606 2.307 -1.642
3.212 1.952 3.927
4.861 -3.034 -2.469
Au N O Si
2 2 2 2
Direct
0.500 0.958 0.117
0.500 0.458 0.883
0.000 0.831 0.400
0.000 0.331 0.600
0.500 0.445 0.250
0.500 0.945 0.750
0.000 0.520 0.384
0.000 0.020 0.616
```

Summary:
energy above the most stable polymorph in this dataset = 432 meV/atom
total energy = -6.169 eV per atom
space group = Pmc2_1, No. 26

Entry 15:
PrTmCd6 | PBE | relaxed

Cell and atoms, written as POSCAR:
```
PrTmCd6
1.0
5.076 0.000 0.000
0.000 5.076 0.000
0.000 0.000 7.282
Cd Pr Tm
6 1 1
Direct
0.500 0.500 0.000
0.500 0.000 0.259
0.000 0.500 0.259
0.000 0.000 0.500
0.500 0.000 0.741
0.000 0.500 0.741
0.000 0.000 0.000
0.500 0.500 0.500
```

Summary:
energy above the most stable polymorph in this dataset = 0 meV/atom
total energy = -2.110 eV per atom
space group = P4/mmm, No. 123
ΔE_f = -0.28 eV/atom

Entry 16:
LiHfFe2 | PBE | relaxed

Cell and atoms, written as POSCAR:
```
LiHfFe2
1.0
-0.682 -0.018 4.195
-2.317 3.082 1.790
-3.874 -0.864 1.520
Fe Hf Li
2 1 1
Direct
0.000 0.000 0.000
0.750 0.750 0.750
0.250 0.250 0.250
0.500 0.500 0.500
```

Summary:
total energy = -7.001 eV per atom
space group = F-43m, No. 216

Entry 17:
YCoSi2Ag | PBE | relaxed

Cell and atoms, written as POSCAR:
```
YCoSi2Ag
1.0
-2.874 -5.030 -0.451
-1.613 -2.935 4.749
-0.252 5.406 -2.117
Ag Co Si Y
1 1 2 1
Direct
0.000 0.000 0.000
0.500 0.500 0.000
0.634 0.134 0.500
0.866 0.366 0.500
0.250 0.750 0.500
```

Summary:
total energy = -5.915 eV per atom
space group = I-4m2, No. 119

Entry 18:
LiTa3As5 | PBE | relaxed

Cell and atoms, written as POSCAR:
```
LiTa3As5
1.0
-0.737 -2.751 4.863
5.202 0.883 -1.977
0.322 6.695 3.836
As Li Ta
5 1 3
Direct
0.667 0.333 0.225
0.333 0.667 0.225
0.000 0.000 0.500
0.667 0.333 0.775
0.333 0.667 0.775
0.000 0.000 0.000
0.500 0.000 0.500
0.000 0.500 0.500
0.500 0.500 0.500
```

Summary:
total energy = -6.891 eV per atom
space group = P6/mmm, No. 191

Entry 19:
SnMo2C | PBE | relaxed

Cell and atoms, written as POSCAR:
```
SnMo2C
1.0
4.792 -2.765 0.000
4.792 2.765 0.000
-3.191 0.000 13.536
C Mo Sn
6 12 6
Direct
0.667 0.166 0.000
0.000 0.500 0.000
0.333 0.834 0.000
0.166 0.667 0.500
0.500 0.000 0.500
0.834 0.333 0.500
0.694 0.860 0.081
0.026 0.194 0.081
0.360 0.527 0.081
0.473 0.640 0.419
0.806 0.974 0.419
0.140 0.306 0.419
0.860 0.694 0.581
0.194 0.026 0.581
0.527 0.360 0.581
0.640 0.473 0.919
0.974 0.806 0.919
0.306 0.140 0.919
0.415 0.252 0.250
0.081 0.919 0.250
0.748 0.585 0.250
0.252 0.415 0.750
0.919 0.081 0.750
0.585 0.748 0.750
```

Summary:
total energy = -8.709 eV per atom
space group = Cmcm, No. 63

Entry 20:
TmNbNO | PBE | relaxed

Cell and atoms, written as POSCAR:
```
TmNbNO
1.0
-1.710 -2.962 0.000
0.000 0.000 5.733
-5.169 2.984 0.000
N Nb O Tm
2 2 2 2
Direct
0.000 0.930 0.302
0.000 0.430 0.698
0.500 0.964 0.111
0.500 0.464 0.889
0.500 0.327 0.232
0.500 0.827 0.768
0.000 0.532 0.331
0.000 0.032 0.669
```

Summary:
energy above the most stable polymorph in this dataset = 219 meV/atom
total energy = -8.596 eV per atom
space group = Pmc2_1, No. 26

Entry 21:
PuTcIr | PBE | relaxed

Cell and atoms, written as POSCAR:
```
PuTcIr
1.0
0.000 3.081 3.081
3.081 0.000 3.081
3.081 3.081 0.000
Ir Pu Tc
1 1 1
Direct
0.500 0.500 0.500
0.250 0.250 0.250
0.000 0.000 0.000
```

Summary:
energy above the most stable polymorph in this dataset = 0 meV/atom
total energy = -10.442 eV per atom
space group = F-43m, No. 216
ΔE_f = 0.67 eV/atom

Entry 22:
PrSmNi2B2Pt6 | PBE | relaxed

Cell and atoms, written as POSCAR:
```
PrSmNi2B2Pt6
1.0
-1.281 0.768 -5.253
1.217 -5.007 1.810
-7.107 -1.163 1.563
B Ni Pr Pt Sm
2 2 1 6 1
Direct
0.667 0.333 0.500
0.333 0.667 0.500
0.667 0.333 0.000
0.333 0.667 0.000
0.000 0.000 0.000
0.500 0.000 0.289
0.000 0.500 0.289
0.500 0.500 0.289
0.500 0.000 0.711
0.000 0.500 0.711
0.500 0.500 0.711
0.000 0.000 0.500
```

Summary:
energy above the most stable polymorph in this dataset = 0 meV/atom
total energy = -6.569 eV per atom
space group = P6/mmm, No. 191

Entry 23:
Er2CuAgSn2 | PBE | relaxed

Cell and atoms, written as POSCAR:
```
Er2CuAgSn2
1.0
4.618 0.000 0.000
-2.309 3.999 0.000
0.000 0.000 7.276
Ag Cu Er Sn
1 1 2 2
Direct
0.000 0.000 0.322
0.333 0.667 0.826
0.667 0.333 0.507
0.667 0.333 0.999
0.333 0.667 0.219
0.000 0.000 0.737
```

Summary:
total energy = -4.518 eV per atom
space group = P3m1, No. 156